[1]
A geometry-optimized TbSm2TmSc structure, computed with GGA-PBE.

The volume comes out at 32.86 A^3/atom. The energy comes out at -4.60 eV per atom. As for the density of states at the Fermi level: 29.0 states/eV/cell. The calculation puts the formation energy at 0.37 eV/atom.

The space group is Cmcm (No. 63) and the conventional cell measures 8.181, 11.279 and 7.122 Å, with angles of 90.00, 90.00 and 90.00 degrees. The inequivalent atoms are Tb at (0.000, 0.230, 0.250), Sm at (0.199, 0.000, 0.000), Tm at (0.000, 0.235, 0.750) and Sc at (0.000, 0.495, 0.250).

***

[2]
A geometry-optimized AlCd5 structure, computed with GGA-PBE.

The energy above the most stable polymorph in this dataset comes out at 0.44 kcal/mol of atoms. The volume comes out at 21.73 A^3/atom. The energy comes out at -1.31 eV per atom. As for the density of states at the Fermi level: 3.3 states/eV/cell. The calculation puts the formation energy at 0.07 eV/atom.

The space group is Cmmm (No. 65) and the conventional cell measures 4.445, 13.369 and 4.389 Å, with angles of 90.00, 90.00 and 90.00 degrees. The inequivalent atoms are Al at (0.000, 0.000, 0.000), Cd at (0.000, 0.164, 0.500), Cd at (0.000, 0.335, 0.000) and Cd at (0.000, 0.500, 0.500).

***

[3]
A geometry-optimized CdRu2Br structure, computed with GGA-PBE.

The energy above the most stable polymorph in this dataset comes out at 0.00 kcal/mol of atoms. The volume comes out at 18.72 A^3/atom. The energy comes out at -5.00 eV per atom. As for the density of states at the Fermi level: 3.9 states/eV/cell. The calculation puts the energy relative to the elements, uncorrected at 0.280 eV per atom.

The space group is Pm (No. 6) and the conventional cell measures 3.037, 2.999 and 8.348 Å, with angles of 90.00, 100.02 and 90.00 degrees. The inequivalent atoms are Cd at (0.000, 0.000, 0.000), Ru at (0.388, 0.500, 0.766), Ru at (0.800, 0.000, 0.582) and Br at (0.678, 0.500, 0.329).

***

[4]
A geometry-optimized LiOsSe2N structure, computed with GGA-PBE.

The energy above the most stable polymorph in this dataset comes out at 0.00 kcal/mol of atoms. The volume comes out at 19.69 A^3/atom. The energy comes out at -5.57 eV per atom. As for the density of states at the Fermi level: 4.2 states/eV/cell. The calculation puts the energy relative to the elements, uncorrected at 0.118 eV per atom.

The space group is P4/mmm (No. 123) and the conventional cell measures 5.176, 5.176 and 3.675 Å, with angles of 90.00, 90.00 and 90.00 degrees. The inequivalent atoms are Li at (0.000, 0.000, 0.000), Os at (0.500, 0.500, 0.500), Se at (0.000, 0.500, 0.500) and N at (0.500, 0.500, 0.000).

***

[5]
A geometry-optimized Os3RhC structure, computed with GGA-PBE.

The energy above the most stable polymorph in this dataset comes out at 75.34 kcal/mol of atoms. The volume comes out at 20.15 A^3/atom. The energy comes out at -6.25 eV per atom. As for the density of states at the Fermi level: 7.7 states/eV/cell. The calculation puts the formation energy at 3.80 eV/atom.

The space group is Pm-3m (No. 221) and the conventional cell measures 4.653, 4.653 and 4.653 Å, with angles of 90.00, 90.00 and 90.00 degrees. The inequivalent atoms are Os at (0.000, 0.000, 0.500), Rh at (0.000, 0.000, 0.000) and C at (0.500, 0.500, 0.500).

***

[6]
A geometry-optimized Tb2PrEu structure, computed with GGA-PBE.

The energy above the most stable polymorph in this dataset comes out at 2.38 kcal/mol of atoms. The volume comes out at 35.38 A^3/atom. The energy comes out at -5.91 eV per atom. As for the density of states at the Fermi level: 19.0 states/eV/cell. The calculation puts the formation energy at 0.16 eV/atom.

The space group is R-3m (No. 166, hexagonal axes) and the conventional cell measures 3.5877, 3.5877 and 38.0895 Å, with angles of 90.00, 90.00 and 120.00 degrees. The inequivalent atoms are Tb at (0.0000, 0.0000, 0.0899), Pr at (0.0000, 0.0000, 0.5000) and Eu at (0.0000, 0.0000, 0.0000).

***

[7]
A geometry-optimized LaPm5Cu4 structure, computed with GGA-PBE.

The volume comes out at 25.27 A^3/atom. The energy comes out at -4.64 eV per atom. As for the density of states at the Fermi level: 8.4 states/eV/cell. The calculation puts the formation energy at -0.13 eV/atom.

The space group is P4/mmm (No. 123) and the conventional cell measures 3.572, 3.572 and 19.802 Å, with angles of 90.00, 90.00 and 90.00 degrees. The inequivalent atoms are La at (0.000, 0.000, 0.000), Pm at (0.500, 0.500, 0.141), Pm at (0.500, 0.500, 0.319), Pm at (0.500, 0.500, 0.500), Cu at (0.000, 0.000, 0.229) and Cu at (0.000, 0.000, 0.409).

***

[8]
A geometry-optimized TbPmDy2Ho5 structure, computed with GGA-PBE.

The volume comes out at 32.23 A^3/atom. The energy comes out at -4.32 eV per atom. As for the density of states at the Fermi level: 45.7 states/eV/cell. The calculation puts the formation energy at 0.29 eV/atom.

The space group is I4/mcm (No. 140) and the conventional cell measures 8.891, 8.891 and 14.677 Å, with angles of 90.00, 90.00 and 90.00 degrees. The inequivalent atoms are Tb at (0.000, 0.500, 0.250), Pm at (0.000, 0.000, 0.250), Dy at (0.113, 0.387, 0.000), Ho at (0.000, 0.000, 0.000) and Ho at (0.205, 0.295, 0.367).